(1)
Ho3Cd4Hg2 | PBE-GGA | optimized geometry

SG	C2/m, No. 12
total magnetic moment	0.00	μB per formula unit
energy of formation	-0.3449	eV/atom

Lattice parameters (Å, degrees): 6.0122 6.0122 9.2058 116.61 116.61 48.70
With the nearest neighbours (Å) after each atom.
Positions (direct):
Ho 0.0000 0.0000 0.0000  8 Cd 3.29-3.35, 4 Hg 3.32, 2 Ho 3.42
Ho 0.3311 0.3311 0.3359  4 Hg 3.30-3.36, 8 Cd 3.32-3.35, 2 Ho 3.42-3.44
Ho 0.6689 0.6689 0.6641  4 Hg 3.30-3.36, 8 Cd 3.32-3.35, 2 Ho 3.42-3.44
Cd 0.0504 0.0504 0.3852  1 Cd 2.82, 2 Hg 2.87
Cd 0.2749 0.2749 0.9445  2 Cd 2.84, 1 Hg 2.87
Cd 0.7251 0.7251 0.0555  2 Cd 2.84, 1 Hg 2.87
Cd 0.9496 0.9496 0.6148  1 Cd 2.82, 2 Hg 2.87
Hg 0.3903 0.3903 0.7242  3 Cd 2.87
Hg 0.6097 0.6097 0.2758  3 Cd 2.87

(2)
HoCdHg | PBE-GGA | optimized geometry

SG	F-43m, No. 216
total magnetic moment	0.00	μB per formula unit
energy of formation	-0.2265	eV/atom

Lattice parameters (Å, degrees): 6.8869 6.8869 6.8869 90.00 90.00 90.00
With the nearest neighbours (Å) after each atom.
Positions (direct):
Ho 0.0000 0.0000 0.0000  4 Hg 2.98
Ho 0.0000 0.5000 0.5000  4 Hg 2.98
Ho 0.5000 0.0000 0.5000  4 Hg 2.98
Ho 0.5000 0.5000 0.0000  4 Hg 2.98
Cd 0.0000 0.0000 0.5000  4 Hg 2.98
Cd 0.0000 0.5000 0.0000  4 Hg 2.98
Cd 0.5000 0.0000 0.0000  4 Hg 2.98
Cd 0.5000 0.5000 0.5000  4 Hg 2.98
Hg 0.2500 0.2500 0.7500  4 Ho 2.98, 4 Cd 2.98
Hg 0.2500 0.7500 0.2500  4 Ho 2.98, 4 Cd 2.98
Hg 0.7500 0.2500 0.2500  4 Ho 2.98, 4 Cd 2.98
Hg 0.7500 0.7500 0.7500  4 Ho 2.98, 4 Cd 2.98

(3)
HoCd12Hg7 | PBE-GGA | optimized geometry

energy above the most stable polymorph in this dataset	4.4	kJ per mole of atoms
SG	R-3, No. 148
total magnetic moment	0.00	μB per formula unit
energy of formation	0.0030	eV/atom

Lattice parameters (Å, degrees): 8.9354 8.9354 8.9354 111.91 111.91 111.91
With the nearest neighbours (Å) after each atom.
Positions (direct):
Ho 0.0000 0.0000 0.0000  6 Hg 3.08
Cd 0.1072 0.7840 0.3451  2 Hg 2.91-3.06, 5 Cd 3.00-3.13
Cd 0.1708 0.5314 0.4927  4 Cd 2.95-3.13, 4 Hg 3.04-3.23
Cd 0.2160 0.6549 0.8928  2 Hg 2.91-3.06, 5 Cd 3.00-3.13
Cd 0.3451 0.1072 0.7840  2 Hg 2.91-3.06, 5 Cd 3.00-3.13
Cd 0.4686 0.5073 0.8292  4 Cd 2.95-3.13, 4 Hg 3.04-3.23
Cd 0.4927 0.1708 0.5314  4 Cd 2.95-3.13, 4 Hg 3.04-3.23
Cd 0.5073 0.8292 0.4686  4 Cd 2.95-3.13, 4 Hg 3.04-3.23
Cd 0.5314 0.4927 0.1708  4 Cd 2.95-3.13, 4 Hg 3.04-3.23
Cd 0.6549 0.8928 0.2160  2 Hg 2.91-3.06, 5 Cd 3.00-3.13
Cd 0.7840 0.3451 0.1072  2 Hg 2.91-3.06, 5 Cd 3.00-3.13
Cd 0.8292 0.4686 0.5073  4 Cd 2.95-3.13, 4 Hg 3.04-3.23
Cd 0.8928 0.2160 0.6549  2 Hg 2.91-3.06, 5 Cd 3.00-3.13
Hg 0.0855 0.1344 0.4123  5 Cd 2.91-3.23, 1 Ho 3.08
Hg 0.1344 0.4123 0.0855  5 Cd 2.91-3.23, 1 Ho 3.08
Hg 0.4123 0.0855 0.1344  5 Cd 2.91-3.23, 1 Ho 3.08
Hg 0.5000 0.5000 0.5000  6 Cd 3.04
Hg 0.5877 0.9145 0.8656  5 Cd 2.91-3.23, 1 Ho 3.08
Hg 0.8656 0.5877 0.9145  5 Cd 2.91-3.23, 1 Ho 3.08
Hg 0.9145 0.8656 0.5877  5 Cd 2.91-3.23, 1 Ho 3.08

(4)
Ho2CdHg8 | PBE-GGA | optimized geometry

energy above the most stable polymorph in this dataset	2.5	kJ per mole of atoms
SG	C2/m, No. 12
total magnetic moment	0.00	μB per formula unit
energy of formation	-0.1965	eV/atom

Lattice parameters (Å, degrees): 8.9960 8.9960 6.8657 107.64 107.64 30.85
With the nearest neighbours (Å) after each atom.
Positions (direct):
Ho 0.2115 0.2115 0.1788  10 Hg 3.13-3.39
Ho 0.7885 0.7885 0.8212  10 Hg 3.13-3.39
Cd 0.5000 0.5000 0.5000  8 Hg 2.92-3.16
Hg 0.0266 0.0266 0.2272  5 Hg 2.96-3.29, 2 Cd 3.16
Hg 0.1649 0.1649 0.6933  6 Hg 3.14-3.39, 3 Ho 3.15-3.17
Hg 0.3474 0.3474 0.6104  1 Cd 2.97, 5 Hg 3.06-3.20, 3 Ho 3.13-3.15
Hg 0.3907 0.3907 0.0781  1 Cd 2.92, 3 Hg 3.06-3.17, 2 Ho 3.16
Hg 0.6093 0.6093 0.9219  1 Cd 2.92, 3 Hg 3.06-3.17, 2 Ho 3.16
Hg 0.6526 0.6526 0.3896  1 Cd 2.97, 5 Hg 3.06-3.20, 3 Ho 3.13-3.15
Hg 0.8351 0.8351 0.3067  6 Hg 3.14-3.39, 3 Ho 3.15-3.17
Hg 0.9734 0.9734 0.7728  5 Hg 2.96-3.29, 2 Cd 3.16

Which of these has the lowest energy of formation?
Ho3Cd4Hg2

Look up the total magnetic moment of the first one.
0.00 μB per formula unit

Repeat the third record exactly.
HoCd12Hg7 | PBE-GGA | optimized geometry

energy above the most stable polymorph in this dataset	4.4	kJ per mole of atoms
SG	R-3, No. 148
total magnetic moment	0.00	μB per formula unit
energy of formation	0.0030	eV/atom

Lattice parameters (Å, degrees): 8.9354 8.9354 8.9354 111.91 111.91 111.91
With the nearest neighbours (Å) after each atom.
Positions (direct):
Ho 0.0000 0.0000 0.0000  6 Hg 3.08
Cd 0.1072 0.7840 0.3451  2 Hg 2.91-3.06, 5 Cd 3.00-3.13
Cd 0.1708 0.5314 0.4927  4 Cd 2.95-3.13, 4 Hg 3.04-3.23
Cd 0.2160 0.6549 0.8928  2 Hg 2.91-3.06, 5 Cd 3.00-3.13
Cd 0.3451 0.1072 0.7840  2 Hg 2.91-3.06, 5 Cd 3.00-3.13
Cd 0.4686 0.5073 0.8292  4 Cd 2.95-3.13, 4 Hg 3.04-3.23
Cd 0.4927 0.1708 0.5314  4 Cd 2.95-3.13, 4 Hg 3.04-3.23
Cd 0.5073 0.8292 0.4686  4 Cd 2.95-3.13, 4 Hg 3.04-3.23
Cd 0.5314 0.4927 0.1708  4 Cd 2.95-3.13, 4 Hg 3.04-3.23
Cd 0.6549 0.8928 0.2160  2 Hg 2.91-3.06, 5 Cd 3.00-3.13
Cd 0.7840 0.3451 0.1072  2 Hg 2.91-3.06, 5 Cd 3.00-3.13
Cd 0.8292 0.4686 0.5073  4 Cd 2.95-3.13, 4 Hg 3.04-3.23
Cd 0.8928 0.2160 0.6549  2 Hg 2.91-3.06, 5 Cd 3.00-3.13
Hg 0.0855 0.1344 0.4123  5 Cd 2.91-3.23, 1 Ho 3.08
Hg 0.1344 0.4123 0.0855  5 Cd 2.91-3.23, 1 Ho 3.08
Hg 0.4123 0.0855 0.1344  5 Cd 2.91-3.23, 1 Ho 3.08
Hg 0.5000 0.5000 0.5000  6 Cd 3.04
Hg 0.5877 0.9145 0.8656  5 Cd 2.91-3.23, 1 Ho 3.08
Hg 0.8656 0.5877 0.9145  5 Cd 2.91-3.23, 1 Ho 3.08
Hg 0.9145 0.8656 0.5877  5 Cd 2.91-3.23, 1 Ho 3.08